No. 1
LiTcNi: relaxed, PBE-GGA.

* energy relative to the elements: 0.868 eV/atom
* magnetic moment: 0.25 μB/cell
* offset from the most stable computed form: 805 meV per atom
* raw total energy: -5.1525 eV/atom
* calculated volume: 14.52 Å³/atom

Cell lengths 3.9498, 3.9498, 3.9498 Å; angles 60.00, 60.00, 60.00 degrees
Last column: nearest neighbours and their distance in Å.
Element x y z (fractional)
Tc  0.0000  0.0000  0.0000  4 Li 2.42, 4 Ni 2.42
Li  0.2500  0.2500  0.2500  4 Tc 2.42
Ni  0.7500  0.7500  0.7500  4 Tc 2.42

No. 2
TcNiIr: relaxed, PBE-GGA.

* energy relative to the elements: 0.262 eV/atom
* magnetic moment: 0.00 μB/cell
* offset from the most stable computed form: 401 meV per atom
* raw total energy: -8.0739 eV/atom
* calculated volume: 13.84 Å³/atom

Cell lengths 7.0541, 6.8204, 2.6478 Å; angles 84.01, 74.07, 21.92 degrees
Last column: nearest neighbours and their distance in Å.
Element x y z (fractional)
Tc  0.6705  0.6705  0.3295  2 Ni 2.55, 6 Tc 2.65-2.75, 2 Ir 2.68
Ni  0.3314  0.3314  0.6686  2 Tc 2.55, 2 Ir 2.62, 6 Ni 2.65-2.75
Ir  0.9981  0.9981  0.0019  2 Ni 2.62, 6 Ir 2.65-2.75, 2 Tc 2.68

No. 3
Cs3TlPb: relaxed, PBE-GGA.

* energy relative to the elements: -0.060 eV/atom
* magnetic moment: 0.00 μB/cell
* offset from the most stable computed form: 0 meV per atom
* raw total energy: -1.7875 eV/atom
* calculated volume: 52.83 Å³/atom

Cell lengths 6.9312, 6.9394, 12.6788 Å; angles 90.00, 90.00, 119.96 degrees
Last column: nearest neighbours and their distance in Å.
Element x y z (fractional)
Cs  0.8435  0.3347  0.5883  7 Cs 4.10-4.58, 3 Tl 4.15-4.16, 3 Pb 4.49-4.51
Cs  0.8435  0.3347  0.9117  7 Cs 4.10-4.58, 3 Tl 4.15-4.16, 3 Pb 4.49-4.51
Cs  0.5089  0.6653  0.4117  7 Cs 4.10-4.58, 3 Tl 4.15-4.16, 3 Pb 4.49-4.51
Cs  0.5112  0.6701  0.7500  3 Pb 4.00-4.01, 2 Cs 4.29
Cs  0.5089  0.6653  0.0883  7 Cs 4.10-4.58, 3 Tl 4.15-4.16, 3 Pb 4.49-4.51
Cs  0.8412  0.3299  0.2500  3 Pb 4.00-4.01, 2 Cs 4.29
Tl  0.1762  0.0000  0.0000  2 Pb 3.17
Tl  0.1762  0.0000  0.5000  2 Pb 3.17
Pb  0.1776  0.0028  0.7500  2 Tl 3.17
Pb  0.1748  0.9972  0.2500  2 Tl 3.17

No. 4
PmPuHg4: relaxed, PBE-GGA.

* energy relative to the elements: -0.123 eV/atom
* magnetic moment: 5.93 μB/cell
* offset from the most stable computed form: 174 meV per atom
* raw total energy: -3.5048 eV/atom
* calculated volume: 25.58 Å³/atom

Cell lengths 6.0098, 6.0098, 6.0098 Å; angles 60.00, 60.00, 60.00 degrees
Last column: nearest neighbours and their distance in Å.
Element x y z (fractional)
Hg  0.6251  0.1246  0.6251  6 Hg 3.00-3.01
Hg  0.6251  0.6251  0.1246  6 Hg 3.00-3.01
Hg  0.6251  0.6251  0.6251  6 Hg 3.00-3.01
Hg  0.1246  0.6251  0.6251  6 Hg 3.00-3.01
Pu  0.2500  0.2500  0.2500  12 Hg 3.52, 4 Pm 3.68
Pm  0.0000  0.0000  0.0000  12 Hg 3.52, 4 Pu 3.68

No. 5
PmSm2Dy7: relaxed, PBE-GGA.

* energy relative to the elements: 0.169 eV/atom
* magnetic moment: 0.00 μB/cell
* offset from the most stable computed form: 0 meV per atom
* raw total energy: -4.4709 eV/atom
* calculated volume: 33.06 Å³/atom

Cell lengths 6.6394, 9.0156, 8.6220 Å; angles 114.20, 98.97, 45.78 degrees
Last column: nearest neighbours and their distance in Å.
Element x y z (fractional)
Dy  0.8177  0.9443  0.5510  7 Dy 3.53-3.89, 3 Sm 3.54-3.57, 1 Pm 3.81
Dy  0.5000  0.5000  0.0000  2 Pm 3.24, 2 Sm 3.34, 2 Dy 3.62
Dy  0.5116  0.6572  0.6788  1 Pm 3.17, 2 Dy 3.30-3.53, 2 Sm 3.30-3.38
Dy  0.4884  0.3428  0.3212  1 Pm 3.17, 2 Dy 3.30-3.53, 2 Sm 3.30-3.38
Dy  0.1823  0.0557  0.4490  7 Dy 3.53-3.89, 3 Sm 3.54-3.57, 1 Pm 3.81
Dy  0.2950  0.1894  0.9005  2 Sm 3.52, 8 Dy 3.52-3.91, 2 Pm 3.73-3.79
Dy  0.7050  0.8106  0.0995  2 Sm 3.52, 8 Dy 3.52-3.91, 2 Pm 3.73-3.79
Sm  0.8758  0.4844  0.3114  9 Dy 3.30-3.60, 1 Sm 3.41, 1 Pm 3.61
Sm  0.1242  0.5156  0.6886  9 Dy 3.30-3.60, 1 Sm 3.41, 1 Pm 3.61
Pm  0.0000  0.0000  0.0000  4 Dy 3.17-3.24

No. 6
K2SrSiTe4: relaxed, PBE-GGA.

* magnetic moment: 0.00 μB/cell
* raw total energy: -3.4051 eV/atom
* calculated volume: 35.40 Å³/atom
* raw formation energy: -671.7 meV/atom

Cell lengths 9.3625, 9.3625, 10.2897 Å; angles 123.33, 123.33, 90.16 degrees
Last column: nearest neighbours and their distance in Å.
Element x y z (fractional)
K  0.5000  0.5000  0.0000  6 Te 3.73-3.81, 2 K 4.15
K  0.5000  0.0000  0.0000  6 Te 3.37-3.40
K  0.0000  0.0000  0.5000  6 Te 3.73-3.81, 2 K 4.15
K  0.5000  0.0000  0.5000  6 Te 3.37-3.40
Te  0.2746  0.7120  0.4933  1 Si 2.90
Te  0.7520  0.7479  0.5602  2 Si 2.85
Te  0.2479  0.2520  0.0602  2 Si 2.85
Te  0.7254  0.2880  0.5067  1 Si 2.90
Te  0.7521  0.7480  0.9398  2 Si 2.85
Te  0.2120  0.7746  0.9933  1 Si 2.90
Te  0.2480  0.2521  0.4398  2 Si 2.85
Te  0.7880  0.2254  0.0067  1 Si 2.90
Sr  0.0000  0.5000  0.0000  6 Te 3.30-3.35
Sr  0.0000  0.5000  0.5000  6 Te 3.30-3.35
Si  0.0000  0.0000  0.0000  6 Te 2.85-2.90
Si  0.5000  0.5000  0.5000  6 Te 2.85-2.90

No. 7
VSeI2: relaxed, PBE-GGA.

* magnetic moment: 4.78 μB/cell
* offset from the most stable computed form: 386 meV per atom
* raw total energy: -3.7484 eV/atom
* calculated volume: 36.25 Å³/atom
* raw formation energy: 177.4 meV/atom

Cell lengths 4.0061, 4.0061, 10.6849 Å; angles 79.20, 79.20, 60.00 degrees
Last column: nearest neighbours and their distance in Å.
Element x y z (fractional)
Se  0.0000  0.0000  0.0000  2 I 3.61, 6 Se 4.01
I  0.8847  0.8847  0.3458  3 V 2.82
I  0.1153  0.1153  0.6542  3 V 2.82
V  0.5000  0.5000  0.5000  6 I 2.82

No. 8
La2TlAgRu: relaxed, PBE-GGA.

* energy relative to the elements: -0.169 eV/atom
* magnetic moment: 0.00 μB/cell
* offset from the most stable computed form: 126 meV per atom
* raw total energy: -5.0382 eV/atom
* calculated volume: 30.99 Å³/atom

Cell lengths 5.4065, 5.4065, 5.3010 Å; angles 90.00, 90.00, 90.00 degrees
Last column: nearest neighbours and their distance in Å.
Element x y z (fractional)
La  0.0000  0.5000  0.0000  2 Ru 2.70
La  0.5000  0.0000  0.0000  2 Ru 2.70
Ru  0.0000  0.0000  0.0000  2 Tl 2.65, 4 La 2.70
Ag  0.5000  0.5000  0.5000  8 La 3.79, 4 Tl 3.82
Tl  0.0000  0.0000  0.5000  2 Ru 2.65

Repeat the sixth record exactly.
K2SrSiTe4: relaxed, PBE-GGA.

* magnetic moment: 0.00 μB/cell
* raw total energy: -3.4051 eV/atom
* calculated volume: 35.40 Å³/atom
* raw formation energy: -671.7 meV/atom

Cell lengths 9.3625, 9.3625, 10.2897 Å; angles 123.33, 123.33, 90.16 degrees
Last column: nearest neighbours and their distance in Å.
Element x y z (fractional)
K  0.5000  0.5000  0.0000  6 Te 3.73-3.81, 2 K 4.15
K  0.5000  0.0000  0.0000  6 Te 3.37-3.40
K  0.0000  0.0000  0.5000  6 Te 3.73-3.81, 2 K 4.15
K  0.5000  0.0000  0.5000  6 Te 3.37-3.40
Te  0.2746  0.7120  0.4933  1 Si 2.90
Te  0.7520  0.7479  0.5602  2 Si 2.85
Te  0.2479  0.2520  0.0602  2 Si 2.85
Te  0.7254  0.2880  0.5067  1 Si 2.90
Te  0.7521  0.7480  0.9398  2 Si 2.85
Te  0.2120  0.7746  0.9933  1 Si 2.90
Te  0.2480  0.2521  0.4398  2 Si 2.85
Te  0.7880  0.2254  0.0067  1 Si 2.90
Sr  0.0000  0.5000  0.0000  6 Te 3.30-3.35
Sr  0.0000  0.5000  0.5000  6 Te 3.30-3.35
Si  0.0000  0.0000  0.0000  6 Te 2.85-2.90
Si  0.5000  0.5000  0.5000  6 Te 2.85-2.90

Which value of calculated volume does entry 1 give? 14.52 Å³/atom

calculated volume of number 7 (VSeI2)? 36.25 Å³/atom